P:
# CaFe2Cl (PBE, relaxed)
data_CaFe2Cl
_cell_length_a 3.1603
_cell_length_b 3.1603
_cell_length_c 26.0224
_cell_angle_alpha 90.00
_cell_angle_beta 90.00
_cell_angle_gamma 120.00
_symmetry_space_group_name_H-M 'R -3 m'
_symmetry_Int_Tables_number 166
_symmetry_space_group_name_Hall '-R 3 2"'
loop_
_atom_site_label
_atom_site_type_symbol
_atom_site_fract_x
_atom_site_fract_y
_atom_site_fract_z
Ca1 Ca 0.0000 0.0000 0.0000
Fe1 Fe 0.0000 0.0000 0.2387
Cl1 Cl 0.0000 0.0000 0.5000
# Fermi-level density of states ... 4.13 states/eV/f.u.


Q:
# CaFe2Cl (PBE, relaxed)
data_CaFe2Cl
_cell_length_a 4.624
_cell_length_b 4.624
_cell_length_c 14.696
_cell_angle_alpha 90.00
_cell_angle_beta 90.00
_cell_angle_gamma 90.00
_symmetry_space_group_name_H-M 'I 41/a m d'
_symmetry_Int_Tables_number 141
loop_
_symmetry_equiv_pos_as_xyz
'x,y,z'
'-x,-y,-z'
'-y+1/4,x+3/4,z+1/4'
'y+1/4,-x+3/4,-z+1/4'
'-x+1/2,-y,z+1/2'
'x+1/2,y,-z+1/2'
'y+1/4,-x+1/4,z+3/4'
'-y+1/4,x+1/4,-z+3/4'
'x,-y,-z'
'-x,y,z'
'-y+1/4,-x+1/4,-z+3/4'
'y+1/4,x+1/4,z+3/4'
'-x+1/2,y,-z+1/2'
'x+1/2,-y,z+1/2'
'y+1/4,x+3/4,-z+1/4'
'-y+1/4,-x+3/4,z+1/4'
'x+1/2,y+1/2,z+1/2'
'-x+1/2,-y+1/2,-z+1/2'
'-y+3/4,x+1/4,z+3/4'
'y+3/4,-x+1/4,-z+3/4'
'-x,-y+1/2,z'
'x,y+1/2,-z'
'y+3/4,-x+3/4,z+1/4'
'-y+3/4,x+3/4,-z+1/4'
'x+1/2,-y+1/2,-z+1/2'
'-x+1/2,y+1/2,z+1/2'
'-y+3/4,-x+3/4,-z+1/4'
'y+3/4,x+3/4,z+1/4'
'-x,y+1/2,-z'
'x,-y+1/2,z'
'y+3/4,x+1/4,-z+3/4'
'-y+3/4,-x+1/4,z+3/4'
loop_
_atom_site_label
_atom_site_type_symbol
_atom_site_fract_x
_atom_site_fract_y
_atom_site_fract_z
Ca1 Ca 0.000 0.250 0.375
Fe1 Fe 0.000 0.000 0.000
Cl1 Cl 0.000 0.250 0.875
# Fermi-level density of states ... 6.89 states/eV/f.u.


Q has the most favorable energy; the next structure is 86 meV/atom above.